Record 1
Compound: SrY3Ru
Source: Alexandria via LeMat-Bulk
Functional: PBE
Structure: relaxed

Values from the calculation:
ΔH_f (0 K) (eV/f.u.): -0.655
SG: C2/m, No. 12
Calculated total energy (eV/atom): -6.201
Size of the total moment (μB per atom): 0.003
Crystal system: monoclinic

Unit cell a=6.6999 b=9.0120 c=6.2939 alpha=69.59 beta=90.10 gamma=68.21
Fractional coordinates of all 10 atoms:
Sr1 0.4396 0.4398 0.4999
Sr2 0.9397 0.4398 0.0000
Ru1 0.4396 0.9399 0.4999
Ru2 0.4396 0.9399 0.0000
Y1 0.7730 0.9398 0.7504
Y2 0.7568 0.7039 0.3682
Y3 0.5211 0.1757 0.1322
Y4 0.1224 0.1757 0.6317
Y5 0.1063 0.9398 0.2495
Y6 0.3584 0.7039 0.8676

Record 2
Compound: BWS4
Source: Alexandria via LeMat-Bulk
Functional: PBE
Structure: relaxed

Values from the calculation:
SG: C2/m, No. 12
Calculated total energy (eV/atom): -6.111
Energy relative to the elements, uncorrected (eV per atom): -0.088
Size of the total moment (μB per atom): 0.000
Crystal system: monoclinic

Unit cell a=4.9605 b=5.6778 c=10.4954 alpha=99.25 beta=90.00 gamma=115.90
Fractional coordinates of all 12 atoms:
W1 0.0955 0.1910 0.1962
W2 0.9045 0.8090 0.8038
B1 0.2125 0.4250 0.8232
B2 0.7875 0.5750 0.1768
S1 0.7421 0.4841 0.6426
S2 0.3926 0.7853 0.8251
S3 0.6074 0.2147 0.1749
S4 0.9207 0.8414 0.3205
S5 0.2579 0.5159 0.3574
S6 0.0793 0.1586 0.6795
S7 0.8707 0.7414 0.0391
S8 0.1293 0.2586 0.9609

Record 3
Compound: Os3Cl
Source: Alexandria via LeMat-Bulk
Functional: PBE
Structure: relaxed

Values from the calculation:
SG: Cmcm, No. 63
Calculated total energy (eV/atom): -7.973
Energy relative to the elements, uncorrected (eV per atom): 0.911
Size of the total moment (μB per atom): 0.000
Crystal system: orthorhombic

Unit cell a=5.4796 b=5.4796 c=4.5945 alpha=90.00 beta=90.00 gamma=108.22
Fractional coordinates of all 8 atoms:
Cl1 0.4436 0.5564 0.2500
Cl2 0.5564 0.4436 0.7500
Os1 0.6163 0.9967 0.2500
Os2 0.9102 0.0898 0.7500
Os3 0.0033 0.3837 0.2500
Os4 0.0898 0.9102 0.2500
Os5 0.9967 0.6163 0.7500
Os6 0.3837 0.0033 0.7500

Record 4
Compound: NaMgTl2Cu
Source: Alexandria via LeMat-Bulk
Functional: PBE
Structure: relaxed

Values from the calculation:
ΔH_f (0 K) (eV/f.u.): 0.500
SG: P4/mmm, No. 123
Calculated total energy (eV/atom): -2.249
Size of the total moment (μB per atom): 0.000
Crystal system: tetragonal

Unit cell a=5.2619 b=5.2619 c=5.0204 alpha=90.00 beta=90.00 gamma=90.00
Fractional coordinates of all 5 atoms:
Cu1 0.0000 0.0000 0.0000
Mg1 0.0000 0.0000 0.5000
Tl1 0.0000 0.5000 0.0000
Tl2 0.5000 0.0000 0.0000
Na1 0.5000 0.5000 0.5000

Record 5
Compound: HfMnVIr
Source: Alexandria via LeMat-Bulk
Functional: PBE
Structure: relaxed

Values from the calculation:
ΔH_f (0 K) (eV/f.u.): -1.431
SG: F-43m, No. 216
Calculated total energy (eV/atom): -9.633
Size of the total moment (μB per atom): 0.049
Crystal system: cubic

Unit cell a=4.3940 b=4.3940 c=4.3940 alpha=60.00 beta=60.00 gamma=60.00
Fractional coordinates of all 4 atoms:
Ir1 0.0000 0.0000 0.0000
Hf1 0.7500 0.7500 0.7500
Mn1 0.5000 0.5000 0.5000
V1 0.2500 0.2500 0.2500

Record 6
Compound: PuMn2PH
Source: Alexandria via LeMat-Bulk
Functional: PBE
Structure: relaxed

Values from the calculation:
SG: Cmcm, No. 63
Calculated total energy (eV/atom): -8.678
Size of the total moment (μB per atom): 1.681
Crystal system: orthorhombic

Unit cell a=3.5766 b=5.4700 c=6.9253 alpha=90.00 beta=90.00 gamma=109.08
Fractional coordinates of all 10 atoms:
Pu1 0.5420 0.0840 0.2500
Pu2 0.4580 0.9160 0.7500
H1 0.0000 0.0000 0.0000
H2 0.0000 0.0000 0.5000
Mn1 0.1738 0.3476 0.9385
Mn2 0.1738 0.3476 0.5615
Mn3 0.8262 0.6524 0.0615
Mn4 0.8262 0.6524 0.4385
P1 0.7420 0.4840 0.7500
P2 0.2580 0.5160 0.2500

Record 7
Compound: CrRe2B
Source: Alexandria via LeMat-Bulk
Functional: PBE
Structure: relaxed

Values from the calculation:
ΔH_f (0 K) (eV/f.u.): 0.347
SG: Cmcm, No. 63
Calculated total energy (eV/atom): -10.213
Size of the total moment (μB per atom): 0.000
Crystal system: orthorhombic

Unit cell a=4.4962 b=5.0676 c=5.0676 alpha=122.04 beta=90.00 gamma=90.00
Fractional coordinates of all 8 atoms:
Re1 0.7500 0.8605 0.5056
Re2 0.2500 0.1395 0.4944
Re3 0.2500 0.4944 0.1395
Re4 0.7500 0.5056 0.8605
B1 0.0000 0.5000 0.5000
B2 0.5000 0.5000 0.5000
Cr1 0.2500 0.8529 0.8529
Cr2 0.7500 0.1471 0.1471

Record 8
Compound: Ac2TeAsRh6
Source: Alexandria via LeMat-Bulk
Functional: PBE
Structure: relaxed

Values from the calculation:
SG: Pmmn, No. 59
Calculated total energy (eV/atom): -6.640
Energy relative to the elements, uncorrected (eV per atom): -0.628
Size of the total moment (μB per atom): 0.000
Crystal system: orthorhombic

Unit cell a=5.6328 b=8.4478 c=8.7911 alpha=90.00 beta=90.00 gamma=90.00
Fractional coordinates of all 20 atoms:
Ac1 0.5000 0.7197 0.7568
Ac2 0.5000 0.7197 0.2432
Ac3 0.0000 0.2803 0.2568
Ac4 0.0000 0.2803 0.7432
Rh1 0.2532 0.9898 0.0000
Rh2 0.7532 0.0102 0.5000
Rh3 0.2574 0.4878 0.5000
Rh4 0.2426 0.5122 0.0000
Rh5 0.7468 0.9898 0.0000
Rh6 0.0000 0.9090 0.2488
Rh7 0.5000 0.0910 0.2512
Rh8 0.5000 0.0910 0.7488
Rh9 0.0000 0.9090 0.7512
Rh10 0.7426 0.4878 0.5000
Rh11 0.2468 0.0102 0.5000
Rh12 0.7574 0.5122 0.0000
As1 0.0000 0.7520 0.0000
As2 0.5000 0.2480 0.5000
Te1 0.0000 0.7388 0.5000
Te2 0.5000 0.2612 0.0000

Record 9
Compound: HoEr2Tm3Te6
Source: Alexandria via LeMat-Bulk
Functional: PBE
Structure: relaxed

Values from the calculation:
SG: C2/m, No. 12
Calculated total energy (eV/atom): -5.025
Energy relative to the elements, uncorrected (eV per atom): -1.194
Size of the total moment (μB per atom): 0.000
Crystal system: monoclinic

Unit cell a=4.2923 b=8.6656 c=9.6637 alpha=103.66 beta=102.83 gamma=90.00
Fractional coordinates of all 12 atoms:
Te1 0.3334 0.4169 0.6667
Te2 0.6678 0.0815 0.3357
Te3 0.3322 0.9185 0.6643
Te4 0.9997 0.2522 0.9993
Te5 0.6666 0.5831 0.3333
Te6 0.0003 0.7478 0.0007
Tm1 0.5000 0.5000 0.0000
Tm2 0.8342 0.1680 0.6684
Tm3 0.1658 0.8320 0.3316
Ho1 0.5000 0.0000 0.0000
Er1 0.1659 0.3310 0.3318
Er2 0.8341 0.6690 0.6682

Record 10
Compound: LaPr2MgN
Source: Alexandria via LeMat-Bulk
Functional: PBE
Structure: relaxed

Values from the calculation:
SG: P4/mmm, No. 123
Calculated total energy (eV/atom): -5.459
Energy relative to the elements, uncorrected (eV per atom): -0.578
Size of the total moment (μB per atom): 0.000
Crystal system: tetragonal

Unit cell a=5.1352 b=5.1479 c=5.1479 alpha=90.00 beta=90.00 gamma=90.00
Fractional coordinates of all 5 atoms:
N1 0.0000 0.0000 0.0000
Mg1 0.5000 0.5000 0.5000
Pr1 0.0000 0.0000 0.5000
Pr2 0.0000 0.5000 0.0000
La1 0.5000 0.0000 0.0000